Entry 1:
Material: TcSCl2
Method: DFT, PBE
State: relaxed

Values from the calculation:
- formation energy (no corrections) (eV per atom) = 0.43
- calculated density (Mg/m³) = 3.71
- total DFT energy (no corrections) (eV/atom) = -4.112

Unit cell a=12.665 b=12.665 c=12.665 alpha=13.04 beta=13.04 gamma=13.04
Positions (direct):
Cl 0.941 0.941 0.941
Tc 0.000 0.000 0.000
Cl 0.059 0.059 0.059
S 0.500 0.500 0.500



Entry 2:
Material: CeNd2Er
Method: DFT, PBE
State: relaxed

Values from the calculation:
- energy relative to the elements (meV per atom) = 187
- calculated density (Mg/m³) = 7.58
- total DFT energy (no corrections) (eV/atom) = -4.822

Unit cell a=3.469 b=3.469 c=12.678 alpha=82.14 beta=82.14 gamma=60.00
Site moments in Bohr magnetons follow the coordinates.
Positions (direct):
Ce 0.000 0.000 0.000  0.73
Nd 0.912 0.912 0.265  -0.02
Er 0.500 0.500 0.500  0.01
Nd 0.088 0.088 0.735  -0.02



Entry 3:
Material: HoLuBeCo
Method: DFT, PBE
State: relaxed

Values from the calculation:
- energy relative to the elements (meV per atom) = -82
- calculated density (Mg/m³) = 9.27
- total DFT energy (no corrections) (eV/atom) = -5.064

Unit cell a=4.693 b=4.693 c=4.693 alpha=60.00 beta=60.00 gamma=60.00
Positions (direct):
Lu 0.750 0.750 0.750
Co 0.500 0.500 0.500
Ho 0.250 0.250 0.250
Be 0.000 0.000 0.000



Entry 4:
Material: ZnHgAs2
Method: DFT, PBE
State: relaxed

Values from the calculation:
- energy relative to the elements (meV per atom) = 358
- calculated density (Mg/m³) = 8.57
- total DFT energy (no corrections) (eV/atom) = -2.361

Unit cell a=5.111 b=5.111 c=5.111 alpha=128.00 beta=128.00 gamma=76.63
Positions (direct):
Hg 0.500 0.500 0.000
As 0.250 0.750 0.500
As 0.000 0.000 0.000
Zn 0.750 0.250 0.500



Repeat the second record exactly.
Material: CeNd2Er
Method: DFT, PBE
State: relaxed

Values from the calculation:
- energy relative to the elements (meV per atom) = 187
- calculated density (Mg/m³) = 7.58
- total DFT energy (no corrections) (eV/atom) = -4.822

Unit cell a=3.469 b=3.469 c=12.678 alpha=82.14 beta=82.14 gamma=60.00
Site moments in Bohr magnetons follow the coordinates.
Positions (direct):
Ce 0.000 0.000 0.000  0.73
Nd 0.912 0.912 0.265  -0.02
Er 0.500 0.500 0.500  0.01
Nd 0.088 0.088 0.735  -0.02